No. 1
The following is a DFT calculation (PBE+U) of a geometry-optimized AcCdFeO4 structure.

Unit cell a=5.7893 b=5.9206 c=6.7742 alpha=90.00 beta=106.94 gamma=90.00
Last column: magnetic moment on the atom in μB.
Fractional coordinates of all 14 atoms:
Ac 0.7428 0.7500 0.9448  0.03
Ac 0.2572 0.2500 0.0552  0.03
Cd 0.8305 0.7500 0.4690  0.01
Cd 0.1695 0.2500 0.5310  0.01
Fe 0.2799 0.7500 0.3351  4.21
Fe 0.7201 0.2500 0.6649  4.21
O 0.9665 0.4831 0.7383  0.13
O 0.0335 0.9831 0.2617  0.13
O 0.0335 0.5169 0.2617  0.13
O 0.9665 0.0169 0.7383  0.13
O 0.4550 0.7500 0.1393  0.15
O 0.5450 0.2500 0.8607  0.15
O 0.4956 0.7500 0.5966  0.16
O 0.5044 0.2500 0.4034  0.16

Calculated values
Its total energy is -0.4610 Ry per atom.

***

No. 2
The following is a DFT calculation (PBE+U) of a geometry-optimized Ac2CdFeO6 structure.

Unit cell a=4.7989 b=5.6201 c=5.6201 alpha=90.00 beta=90.00 gamma=90.00
Last column: magnetic moment on the atom in μB.
Fractional coordinates of all 10 atoms:
Ac 0.0400 0.5000 0.0000  0.01
Ac 0.0400 0.0000 0.5000  0.01
Cd 0.5738 0.5000 0.5000  -0.01
Fe 0.6127 0.0000 0.0000  3.82
O 0.7118 0.2310 0.2310  -0.02
O 0.7118 0.2310 0.7690  -0.02
O 0.1208 0.5000 0.5000  -0.04
O 0.2121 0.0000 0.0000  0.20
O 0.7118 0.7690 0.7690  -0.02
O 0.7118 0.7690 0.2310  -0.02

Calculated values
Its total energy is -0.4871 Ry per atom.